Record 1
DFT (PBE-GGA) results for Hf3GeW after structural relaxation.

Properties
Its energy is -43.1 eV per cell. The energy above the most stable polymorph in this dataset comes out at 0.000 eV per atom.

```
Hf3GeW
1.0
-2.418 -4.197 0.402
3.866 -2.392 -1.719
1.682 -0.536 4.528
Ge Hf W
1 3 1
Direct
0.000 0.000 0.000
0.000 0.500 0.000
0.000 0.000 0.500
0.500 0.000 0.000
0.500 0.500 0.500
```

Record 2
DFT (PBE-GGA) results for HfGeW after structural relaxation.

Properties
Its energy is -171.0 eV per cell.

```
HfGeW
1.0
3.602 0.000 0.000
0.000 7.139 0.000
0.000 0.000 12.210
Hf Ge W
6 6 6
Direct
0.000 0.235 0.945
0.000 0.765 0.055
0.000 0.235 0.555
0.000 0.765 0.445
0.000 0.165 0.250
0.000 0.835 0.750
0.500 0.069 0.097
0.500 0.931 0.903
0.500 0.069 0.403
0.500 0.931 0.597
0.000 0.550 0.250
0.000 0.450 0.750
0.500 0.446 0.106
0.500 0.554 0.894
0.500 0.446 0.394
0.500 0.554 0.606
0.500 0.811 0.250
0.500 0.189 0.750
```

Record 3
DFT (PBE-GGA) results for Hf5Ge5W after structural relaxation.

Properties
Its energy is -87.5 eV per cell.

```
Hf5Ge5W
1.0
5.318 0.000 0.000
-2.659 5.916 -0.146
0.000 -2.386 7.158
Hf Ge W
5 5 1
Direct
0.676 0.352 0.333
0.654 0.309 0.813
0.000 0.000 0.500
0.346 0.691 0.187
0.324 0.648 0.667
0.832 0.664 0.151
0.837 0.673 0.674
0.500 0.000 0.000
0.163 0.327 0.326
0.168 0.336 0.849
0.000 0.000 0.000
```

Record 4
DFT (PBE-GGA) results for HfGeW2 after structural relaxation.

Properties
Its energy is -75.5 eV per cell.

```
HfGeW2
1.0
7.673 0.000 0.000
0.000 7.673 0.000
3.836 3.836 2.585
Ge Hf W
2 2 4
Direct
0.500 0.500 0.000
0.250 0.750 0.500
0.000 0.000 0.000
0.750 0.250 0.500
0.564 0.125 0.250
0.186 0.625 0.250
0.375 0.436 0.750
0.875 0.814 0.750
```

Record 5
DFT (PBE-GGA) results for HfGe2W2 after structural relaxation.

Properties
Its energy is -90.1 eV per cell.

```
HfGe2W2
1.0
-1.420 5.269 4.764
-7.023 -1.774 -0.132
0.470 -2.037 2.393
Ge Hf W
4 2 4
Direct
0.353 0.853 0.000
0.853 0.647 0.000
0.647 0.147 0.000
0.147 0.353 0.000
0.000 0.000 0.000
0.500 0.500 0.000
0.145 0.645 0.500
0.645 0.855 0.500
0.855 0.355 0.500
0.355 0.145 0.500
```

Record 6
DFT (PBE-GGA) results for HfGeW3 after structural relaxation.

Properties
Its energy is -40.6 eV per cell. The energy above the most stable polymorph in this dataset comes out at 1.314 eV per atom.

```
HfGeW3
1.0
-0.726 -4.570 1.390
2.664 -1.554 -3.719
3.965 0.208 2.754
Ge Hf W
1 1 3
Direct
0.500 0.500 0.500
0.000 0.000 0.000
0.000 0.500 0.000
0.000 0.000 0.500
0.500 0.000 0.000
```

Record 7
DFT (PBE-GGA) results for HfGeW3 after structural relaxation.

Properties
Its energy is -47.1 eV per cell. The energy above the most stable polymorph in this dataset comes out at 0.000 eV per atom.

```
HfGeW3
1.0
4.618 0.000 0.000
0.000 4.618 0.000
0.000 0.000 4.618
Ge Hf W
1 1 3
Direct
0.000 0.000 0.000
0.500 0.500 0.500
0.000 0.500 0.000
0.000 0.000 0.500
0.500 0.000 0.000
```

Record 8
DFT (PBE-GGA) results for Hf3GeW after structural relaxation.

Properties
Its energy is -42.6 eV per cell. The energy above the most stable polymorph in this dataset comes out at 0.110 eV per atom.

```
Hf3GeW
1.0
5.046 0.000 0.000
0.000 5.046 0.000
0.000 0.000 5.046
Ge Hf W
1 3 1
Direct
0.500 0.500 0.500
0.000 0.500 0.000
0.000 0.000 0.500
0.500 0.000 0.000
0.000 0.000 0.000
```

Record 9
DFT (PBE-GGA) results for YHf2Ge2 after structural relaxation.

Properties
Its energy is -36.6 eV per cell. The energy above the most stable polymorph in this dataset comes out at 0.413 eV per atom.

```
YHf2Ge2
1.0
-0.892 -4.560 2.121
3.437 1.019 3.639
-2.009 0.073 5.463
Y Ge Hf
1 2 2
Direct
0.000 0.000 0.000
0.750 0.250 0.500
0.250 0.750 0.500
0.333 0.333 0.334
0.667 0.667 0.666
```

Record 10
DFT (PBE-GGA) results for YHf2Ge2 after structural relaxation.

Properties
Its energy is -77.3 eV per cell. The energy above the most stable polymorph in this dataset comes out at 0.000 eV per atom.

```
YHf2Ge2
1.0
-0.030 2.769 -6.928
-1.786 -6.730 -2.682
-3.574 0.813 0.341
Y Ge Hf
2 4 4
Direct
0.000 0.000 0.000
0.500 0.500 0.000
0.371 0.871 0.000
0.871 0.629 0.000
0.629 0.129 0.000
0.129 0.371 0.000
0.167 0.667 0.500
0.667 0.833 0.500
0.833 0.333 0.500
0.333 0.167 0.500
```

Record 11
DFT (PBE-GGA) results for Y2HfGe after structural relaxation.

Properties
Its energy is -54.2 eV per cell.

```
Y2HfGe
1.0
8.396 0.000 0.000
0.000 8.396 0.000
4.198 4.198 2.940
Y Ge Hf
4 2 2
Direct
0.583 0.125 0.250
0.167 0.625 0.250
0.375 0.417 0.750
0.875 0.833 0.750
0.500 0.500 0.000
0.250 0.750 0.500
0.000 0.000 0.000
0.750 0.250 0.500
```

Record 12
DFT (PBE-GGA) results for YHfGe2 after structural relaxation.

Properties
Its energy is -28.3 eV per cell. The energy above the most stable polymorph in this dataset comes out at 0.000 eV per atom.

```
YHfGe2
1.0
3.945 0.000 0.000
1.972 3.416 0.000
1.972 1.139 6.669
Y Ge Hf
1 2 1
Direct
0.500 0.500 0.500
0.257 0.257 0.229
0.743 0.743 0.771
0.000 0.000 0.000
```

Record 13
DFT (PBE-GGA) results for YHfGe2 after structural relaxation.

Properties
Its energy is -50.2 eV per cell. The energy above the most stable polymorph in this dataset comes out at 0.810 eV per atom.

```
YHfGe2
1.0
5.709 0.000 0.000
0.000 5.709 0.000
2.855 2.855 7.386
Y Ge Hf
2 4 2
Direct
0.500 0.500 0.000
0.250 0.750 0.500
0.669 0.125 0.250
0.081 0.625 0.250
0.375 0.331 0.750
0.875 0.919 0.750
0.000 0.000 0.000
0.750 0.250 0.500
```

Record 14
DFT (PBE-GGA) results for YHfGe2 after structural relaxation.

Properties
Its energy is -27.1 eV per cell. The energy above the most stable polymorph in this dataset comes out at 0.309 eV per atom.

```
YHfGe2
1.0
0.000 3.468 3.468
3.468 0.000 3.468
3.468 3.468 0.000
Y Ge Hf
1 2 1
Direct
0.000 0.000 0.000
0.250 0.250 0.250
0.750 0.750 0.750
0.500 0.500 0.500
```

Record 15
DFT (PBE-GGA) results for YHf2Ge2 after structural relaxation.

Properties
Its energy is -74.2 eV per cell. The energy above the most stable polymorph in this dataset comes out at 0.308 eV per atom.

```
YHf2Ge2
1.0
8.234 0.000 0.000
0.000 8.234 0.000
0.000 0.000 3.062
Y Ge Hf
2 4 4
Direct
0.000 0.000 0.000
0.500 0.500 0.000
0.170 0.670 0.500
0.670 0.830 0.500
0.830 0.330 0.500
0.330 0.170 0.500
0.374 0.874 0.000
0.874 0.626 0.000
0.626 0.126 0.000
0.126 0.374 0.000
```

Record 16
DFT (PBE-GGA) results for YHf2Ge2 after structural relaxation.

Properties
Its energy is -74.5 eV per cell. The energy above the most stable polymorph in this dataset comes out at 0.277 eV per atom.

```
YHf2Ge2
1.0
-1.685 5.632 -3.845
-3.737 1.458 5.767
5.514 0.131 1.234
Y Hf Ge
2 4 4
Direct
0.891 0.609 0.750
0.109 0.391 0.250
0.226 0.925 0.513
0.425 0.726 0.013
0.774 0.075 0.487
0.575 0.274 0.987
0.180 0.320 0.750
0.380 0.120 0.250
0.620 0.880 0.750
0.820 0.680 0.250
```

Record 17
DFT (PBE-GGA) results for YHfZnGe2 after structural relaxation.

Properties
Its energy is -22.1 eV per cell.

```
YHfZnGe2
1.0
-4.083 -1.340 -2.877
-2.448 -1.456 4.152
-1.937 4.765 0.529
Y Ge Hf Zn
1 2 1 1
Direct
0.000 0.000 0.000
0.000 0.000 0.500
0.500 0.000 0.000
0.500 0.500 0.500
0.000 0.500 0.000
```

Record 18
DFT (PBE-GGA) results for Hf2ZnGe after structural relaxation.

Properties
Its energy is -52.1 eV per cell. The energy above the most stable polymorph in this dataset comes out at 0.429 eV per atom.

```
Hf2ZnGe
1.0
7.338 0.000 0.000
0.000 7.338 0.000
3.669 3.669 2.934
Ge Hf Zn
2 4 2
Direct
0.000 0.000 0.000
0.750 0.250 0.500
0.629 0.125 0.250
0.121 0.625 0.250
0.375 0.371 0.750
0.875 0.879 0.750
0.500 0.500 0.000
0.250 0.750 0.500
```

Record 19
DFT (PBE-GGA) results for Hf2ZnGe after structural relaxation.

Properties
Its energy is -26.7 eV per cell. The energy above the most stable polymorph in this dataset comes out at 0.253 eV per atom.

```
Hf2ZnGe
1.0
-0.434 0.791 -3.591
2.269 -1.498 -2.513
-3.588 -5.504 -2.687
Ge Hf Zn
1 2 1
Direct
0.000 0.000 0.000
0.256 0.256 0.232
0.744 0.744 0.768
0.500 0.500 0.500
```

Record 20
DFT (PBE-GGA) results for HfZn3Ge after structural relaxation.

Properties
Its energy is -15.0 eV per cell. The energy above the most stable polymorph in this dataset comes out at 0.000 eV per atom.

```
HfZn3Ge
1.0
-1.959 0.185 -4.237
4.148 -0.889 -1.957
-0.884 -4.583 0.208
Ge Hf Zn
1 1 3
Direct
0.000 0.000 0.000
0.500 0.500 0.500
0.000 0.500 0.000
0.000 0.000 0.500
0.500 0.000 0.000
```